Compound: KCoC2O6
Source: Alexandria via LeMat-Bulk
Functional: PBE+U
Structure: optimized geometry

a = 4.700 Å, b = 4.700 Å, c = 6.777 Å
α = 69.71°, β = 69.71°, γ = 60.00°
Fractional coordinates of all 10 atoms:
K  0.000  0.000  0.000
Co  0.500  0.500  0.500
C  0.777  0.777  0.670
C  0.223  0.223  0.330
O  0.068  0.521  0.679
O  0.732  0.068  0.679
O  0.479  0.268  0.321
O  0.932  0.479  0.321
O  0.268  0.932  0.321
O  0.521  0.732  0.679

Properties
- Energy: -67.98 eV per cell
- Total magnetic moment: 0.00 μB/f.u.
- Space group: R-3 (148)